[1]
Entry from Alexandria via LeMat-Bulk: a PBEsol-optimized structure of SiSbP2 (SCAN).

The space group is I-4m2 (No. 119) and the conventional cell measures 3.743, 3.743 and 10.313 Å, with angles of 90.00, 90.00 and 90.00 degrees. The inequivalent atoms are Si at (0.000, 0.000, 0.000), Sb at (0.000, 0.500, 0.750), P at (0.000, 0.000, 0.500) and P at (0.000, 0.500, 0.250).

The total magnetization is 0.0 Bohr magnetons per cell. As for the mass density: 4.868 g cm⁻³. The calculation puts the energy above the most stable polymorph in this dataset at 587.9 meV per atom.

=====

[2]
Entry from Alexandria via LeMat-Bulk: a PBEsol-optimized structure of SiSbP2 (SCAN).

The space group is I-42d (No. 122) and the conventional cell measures 6.449, 6.449 and 7.881 Å, with angles of 90.00, 90.00 and 90.00 degrees. The inequivalent atoms are Si at (0.000, 0.000, 0.000), Sb at (0.000, 0.000, 0.500) and P at (0.193, 0.250, 0.125).

The total magnetization is 0.0 Bohr magnetons per cell. As for the mass density: 4.291 g cm⁻³. The calculation puts the energy above the most stable polymorph in this dataset at 0.0 meV per atom.

=====

[3]
Entry from Alexandria via LeMat-Bulk: a PBEsol-optimized structure of SiSb4P (SCAN).

The space group is F-43m (No. 216) and the conventional cell measures 8.488, 8.488 and 8.488 Å, with angles of 90.00, 90.00 and 90.00 degrees. The inequivalent atoms are Si at (0.000, 0.000, 0.000), Sb at (0.125, 0.125, 0.625) and P at (0.250, 0.250, 0.250).

The total magnetization is 0.0 Bohr magnetons per cell. As for the mass density: 5.931 g cm⁻³. The value obtained for the total energy is -27.242 eV/atom.

=====

[4]
Entry from Alexandria via LeMat-Bulk: a PBEsol-optimized structure of TaSiSbP2 (SCAN).

The space group is P4/mmm (No. 123) and the conventional cell measures 4.836, 4.836 and 4.835 Å, with angles of 90.00, 90.00 and 90.00 degrees. The inequivalent atoms are Ta at (0.000, 0.000, 0.000), Si at (0.500, 0.500, 0.000), Sb at (0.500, 0.500, 0.500) and P at (0.000, 0.500, 0.500).

The total magnetization is 1.1 Bohr magnetons per cell. As for the mass density: 5.768 g cm⁻³. The value obtained for the total energy is -25.000 eV/atom.

=====

[5]
Entry from Alexandria via LeMat-Bulk: a PBEsol-optimized structure of SnSbP3 (SCAN).

The space group is Pm-3m (No. 221) and the conventional cell measures 4.923, 4.923 and 4.923 Å, with angles of 90.00, 90.00 and 90.00 degrees. The inequivalent atoms are Sn at (0.000, 0.000, 0.000), Sb at (0.500, 0.500, 0.500) and P at (0.000, 0.000, 0.500).

The total magnetization is 0.0 Bohr magnetons per cell. As for the mass density: 4.639 g cm⁻³. The value obtained for the total energy is -19.687 eV/atom.

=====

[6]
Entry from Alexandria via LeMat-Bulk: a PBEsol-optimized structure of SnSbTe2P (SCAN).

The space group is P4/mmm (No. 123) and the conventional cell measures 5.501, 5.501 and 5.538 Å, with angles of 90.00, 90.00 and 90.00 degrees. The inequivalent atoms are Sn at (0.000, 0.000, 0.000), Sb at (0.000, 0.000, 0.500), Te at (0.000, 0.500, 0.000) and P at (0.500, 0.500, 0.500).

The total magnetization is 0.0 Bohr magnetons per cell. As for the mass density: 5.218 g cm⁻³. The value obtained for the total energy is -30.400 eV/atom.

=====

[7]
Entry from Alexandria via LeMat-Bulk: a PBEsol-optimized structure of SrSbP (SCAN).

The space group is I4mm (No. 107) and the conventional cell measures 4.188, 4.188 and 10.683 Å, with angles of 90.00, 90.00 and 90.00 degrees. The inequivalent atoms are Sr at (0.000, 0.000, 0.000), Sb at (0.000, 0.000, 0.682) and P at (0.000, 0.000, 0.455).

The total magnetization is 0.0 Bohr magnetons per cell. As for the mass density: 4.260 g cm⁻³. The value obtained for the total energy is -23.828 eV/atom.

=====

[8]
Entry from Alexandria via LeMat-Bulk: a PBEsol-optimized structure of SrSbP2 (SCAN).

The space group is Pmmm (No. 47) and the conventional cell measures 3.797, 3.899 and 6.120 Å, with angles of 90.00, 90.00 and 90.00 degrees. The inequivalent atoms are Sr at (0.000, 0.000, 0.000), Sb at (0.000, 0.000, 0.500) and P at (0.500, 0.500, 0.310).

The total magnetization is 0.0 Bohr magnetons per cell. As for the mass density: 4.973 g cm⁻³. The value obtained for the total energy is -20.242 eV/atom.

=====

[9]
Entry from Alexandria via LeMat-Bulk: a PBEsol-optimized structure of SrSbP2 (SCAN).

The space group is I-42d (No. 122) and the conventional cell measures 7.337, 7.337 and 8.016 Å, with angles of 90.00, 90.00 and 90.00 degrees. The inequivalent atoms are Sr at (0.000, 0.000, 0.000), Sb at (0.000, 0.000, 0.500) and P at (0.202, 0.250, 0.625).

The total magnetization is 0.0 Bohr magnetons per cell. As for the mass density: 4.176 g cm⁻³. The value obtained for the total energy is -20.359 eV/atom.

=====

[10]
Entry from Alexandria via LeMat-Bulk: a PBEsol-optimized structure of Ta4SbP (SCAN).

The space group is F-43m (No. 216) and the conventional cell measures 7.675, 7.675 and 7.675 Å, with angles of 90.00, 90.00 and 90.00 degrees. The inequivalent atoms are Ta at (0.125, 0.125, 0.125), Sb at (0.000, 0.000, 0.500) and P at (0.250, 0.250, 0.750).

The total magnetization is 0.0 Bohr magnetons per cell. As for the mass density: 12.876 g cm⁻³. The value obtained for the total energy is -51.804 eV/atom.

=====

[11]
Entry from Alexandria via LeMat-Bulk: a PBEsol-optimized structure of Ta3SbP (SCAN).

The space group is Pm-3m (No. 221) and the conventional cell measures 4.960, 4.960 and 4.960 Å, with angles of 90.00, 90.00 and 90.00 degrees. The inequivalent atoms are Ta at (0.000, 0.000, 0.500), Sb at (0.000, 0.000, 0.000) and P at (0.500, 0.500, 0.500).

The total magnetization is 0.0 Bohr magnetons per cell. As for the mass density: 9.468 g cm⁻³. The value obtained for the total energy is -47.154 eV/atom.

=====

[12]
Entry from Alexandria via LeMat-Bulk: a PBEsol-optimized structure of TaSb2TeP (SCAN).

The space group is P4/mmm (No. 123) and the conventional cell measures 5.303, 5.303 and 5.172 Å, with angles of 90.00, 90.00 and 90.00 degrees. The inequivalent atoms are Ta at (0.000, 0.000, 0.000), Sb at (0.000, 0.500, 0.000), Te at (0.000, 0.000, 0.500) and P at (0.500, 0.500, 0.500).

The total magnetization is 1.8 Bohr magnetons per cell. As for the mass density: 6.657 g cm⁻³. The value obtained for the total energy is -36.894 eV/atom.

=====

[13]
Entry from Alexandria via LeMat-Bulk: a PBEsol-optimized structure of ZrTaSb2P (SCAN).

The space group is P4/mmm (No. 123) and the conventional cell measures 5.085, 5.085 and 4.490 Å, with angles of 90.00, 90.00 and 90.00 degrees. The inequivalent atoms are Zr at (0.000, 0.000, 0.000), Ta at (0.500, 0.500, 0.000), Sb at (0.000, 0.500, 0.500) and P at (0.500, 0.500, 0.500).

The total magnetization is 0.0 Bohr magnetons per cell. As for the mass density: 7.818 g cm⁻³. The value obtained for the total energy is -35.840 eV/atom.